Arrangement i

A plane-wave DFT calculation with GGA-PBE was carried out for a relaxed CaAl3Pb crystal.

a = 5.454 Å, b = 5.454 Å, c = 5.454 Å
α = 90.00°, β = 90.00°, γ = 90.00°
Element x y z (fractional)
Al 0.000 0.000 0.500
Al 0.000 0.500 0.000
Pb 0.000 0.000 0.000
Al 0.500 0.000 0.000
Ca 0.500 0.500 0.500

Calculated values
**Spin magnetization**: 0.00 μB per cell

Arrangement ii

A plane-wave DFT calculation with GGA-PBE was carried out for a relaxed CaAl3Pb crystal.

a = 5.516 Å, b = 5.516 Å, c = 5.516 Å
α = 90.00°, β = 90.00°, γ = 90.00°
Element x y z (fractional)
Al 0.500 0.000 0.000
Ca 0.000 0.000 0.000
Pb 0.500 0.500 0.500
Al 0.000 0.500 0.000
Al 0.000 0.000 0.500

Calculated values
**Spin magnetization**: 0.00 μB per cell

The least stable of the structures above is arrangement ii, whereas arrangement i is the most stable.